# 1
Computed, not measured: Ac6CoRu2Br3 after structural relaxation at the PBE level of DFT.

Structure (POSCAR):
```
Ac6CoRu2Br3
1.0
3.7010 -6.4102 0.0000
3.7010 6.4102 0.0000
-2.4692 0.0000 8.2882
Ac Co Ru Br
6 1 2 3
direct
0.0646 0.3957 0.1936 Ac
0.2666 0.2666 0.8062 Ac
0.3957 0.0646 0.1936 Ac
0.6043 0.9354 0.8064 Ac
0.7334 0.7334 0.1938 Ac
0.9354 0.6043 0.8064 Ac
0.0000 0.0000 0.0000 Co
0.3335 0.6665 0.0000 Ru
0.6665 0.3335 0.0000 Ru
0.1689 0.8311 0.5000 Br
0.5000 0.5000 0.5000 Br
0.8311 0.1689 0.5000 Br
```

Output
E_form (uncorrected) = -0.80 eV per atom
crystal system = monoclinic
SG = C2/m

# 2
Computed, not measured: Ce2PrSm after structural relaxation at the PBE level of DFT.

Structure (POSCAR):
```
Ce2PrSm
1.0
8.1135 0.0000 0.0000
0.0000 8.1135 0.0000
0.0000 0.0000 8.1135
Ce Pr Sm
8 4 4
direct
0.2500 0.2500 0.2500 Ce
0.2500 0.2500 0.7500 Ce
0.2500 0.7500 0.2500 Ce
0.2500 0.7500 0.7500 Ce
0.7500 0.2500 0.2500 Ce
0.7500 0.2500 0.7500 Ce
0.7500 0.7500 0.2500 Ce
0.7500 0.7500 0.7500 Ce
0.0000 0.0000 0.0000 Pr
0.0000 0.5000 0.5000 Pr
0.5000 0.0000 0.5000 Pr
0.5000 0.5000 0.0000 Pr
0.0000 0.0000 0.5000 Sm
0.0000 0.5000 0.0000 Sm
0.5000 0.0000 0.0000 Sm
0.5000 0.5000 0.5000 Sm
```

Output
crystal system = cubic
SG = Fm-3m
ΔH_f (0 K) = 0.28 eV per atom

# 3
Computed, not measured: La2CeCd3 after structural relaxation at the PBE level of DFT.

Structure (POSCAR):
```
La2CeCd3
1.0
3.8950 0.0000 0.0000
0.0000 3.8950 0.0000
0.0000 0.0000 11.7544
La Ce Cd
2 1 3
direct
0.0000 0.0000 0.1694 La
0.0000 0.0000 0.8306 La
0.0000 0.0000 0.5000 Ce
0.5000 0.5000 0.0000 Cd
0.5000 0.5000 0.3400 Cd
0.5000 0.5000 0.6600 Cd
```

Output
crystal system = tetragonal
SG = P4/mmm
ΔH_f (0 K) = -0.25 eV per atom

# 4
Computed, not measured: Al2TeIr after structural relaxation at the PBE level of DFT.

Structure (POSCAR):
```
Al2TeIr
1.0
5.6520 0.0000 0.0000
0.0000 7.7327 0.0000
-0.0230 0.0000 3.2001
Al Te Ir
4 2 2
direct
0.2500 0.2500 0.0000 Al
0.2500 0.7500 0.0000 Al
0.7500 0.2500 0.0000 Al
0.7500 0.7500 0.0000 Al
0.0000 0.0000 0.5000 Te
0.5000 0.5000 0.5000 Te
0.0000 0.5000 0.5000 Ir
0.5000 0.0000 0.5000 Ir
```

Output
E_form (uncorrected) = 0.07 eV per atom
crystal system = monoclinic
SG = C2/m

# 5
Computed, not measured: SiSb2TeIr after structural relaxation at the PBE level of DFT.

Structure (POSCAR):
```
SiSb2TeIr
1.0
5.0303 0.0000 0.0000
0.0000 5.0303 0.0000
0.0000 0.0000 5.6485
Si Sb Te Ir
1 2 1 1
direct
0.0000 0.0000 0.0000 Si
0.0000 0.5000 0.5000 Sb
0.5000 0.0000 0.5000 Sb
0.5000 0.5000 0.0000 Te
0.5000 0.5000 0.5000 Ir
```

Output
E_form (uncorrected) = 0.75 eV per atom
crystal system = tetragonal
SG = P4/mmm

# 6
Computed, not measured: VFe4Co after structural relaxation at the PBE level of DFT.

Structure (POSCAR):
```
VFe4Co
1.0
2.8851 0.0000 0.0000
0.0000 2.8851 0.0000
0.0000 0.0000 8.4306
V Fe Co
1 4 1
direct
0.0000 0.0000 0.0000 V
0.0000 0.0000 0.3347 Fe
0.0000 0.0000 0.6653 Fe
0.5000 0.5000 0.1660 Fe
0.5000 0.5000 0.8340 Fe
0.5000 0.5000 0.5000 Co
```

Output
crystal system = tetragonal
SG = P4/mmm
ΔH_f (0 K) = -0.09 eV per atom

Electronic total energy: -5.413, -5.066, -3.344, -4.797, -4.379, -8.436 (eV per atom)
M_tot: 0.00, 15.41, 2.13, 0.00, 0.00, 9.79 (μB/cell)